Material: Na2FeSiCO7
Method: DFT, GGA+U
State: relaxed

Calculated volume: 315 Å³/cell
VASP energy: -6.610 eV per atom

Cell lengths 5.268, 6.556, 9.124 Å; angles 90.00, 91.82, 90.00 degrees
Space group P2_1/m (No. 11)
Symmetry-distinct sites (fractional):
Na1 0.244 0.008 0.262 [4 per cell]
Fe1 0.205 0.250 0.861 [2 per cell]
Si1 0.287 0.750 0.928 [2 per cell]
C1 0.265 0.250 0.578 [2 per cell]
O1 0.040 0.250 0.632 [2 per cell]
O2 0.150 0.750 0.087 [2 per cell]
O3 0.203 0.549 0.832 [4 per cell]
O4 0.304 0.250 0.442 [2 per cell]
O5 0.400 0.250 0.044 [2 per cell]
O6 0.452 0.250 0.676 [2 per cell]